The following is a DFT calculation (PBE) of crystalline GaAsS3 at its relaxed geometry.

Calculated values
E_form (uncorrected) (eV/atom): -0.22
Distance to the lowest polymorph of the same formula (meV/atom): 0.0
Magnetic moment (μB per formula unit): 0.00
E (eV/atom): -4.234
Space-group type: No. 38

abc: 3.852 5.923 5.923
angles: 71.61 90.00 90.00
Atoms (fractional coordinates):
Ga 0.000 0.000 0.000
As 0.500 0.382 0.382
S 0.000 0.101 0.597
S 0.000 0.597 0.101
S 0.500 0.137 0.137